# Ac2ZnAg5 (PBE, optimized geometry)
# Magnetic moment, Bohr magnetons per cell: 0.00
# VASP energy, eV per formula unit: -25.56
data_Ac2ZnAg5
_chemical_formula_sum 'Ac4 Zn2 Ag10'
_cell_length_a 8.883
_cell_length_b 8.883
_cell_length_c 9.873
_cell_angle_alpha 90.00
_cell_angle_beta 90.00
_cell_angle_gamma 149.28
_space_group_name_H-M_alt 'P 1'
_space_group_IT_number 1
loop_
_space_group_symop_operation_xyz
'x,y,z'
loop_
_atom_site_label
_atom_site_type_symbol
_atom_site_fract_x
_atom_site_fract_y
_atom_site_fract_z
_atom_site_occupancy
Ac1 Ac 0.000 0.000 0.000 1
Ac2 Ac 0.000 0.000 0.500 1
Ac3 Ac 0.205 0.795 0.750 1
Ac4 Ac 0.795 0.205 0.250 1
Zn1 Zn 0.442 0.558 0.250 1
Zn2 Zn 0.558 0.442 0.750 1
Ag1 Ag 0.184 0.816 0.108 1
Ag2 Ag 0.184 0.816 0.392 1
Ag3 Ag 0.353 0.647 0.029 1
Ag4 Ag 0.353 0.647 0.471 1
Ag5 Ag 0.404 0.596 0.750 1
Ag6 Ag 0.596 0.404 0.250 1
Ag7 Ag 0.647 0.353 0.529 1
Ag8 Ag 0.647 0.353 0.971 1
Ag9 Ag 0.816 0.184 0.608 1
Ag10 Ag 0.816 0.184 0.892 1

# Ac3Zn2Ag3 (PBE, optimized geometry)
# Magnetic moment, Bohr magnetons per cell: 0.00
# VASP energy, eV per formula unit: -25.75
data_Ac3Zn2Ag3
_chemical_formula_sum 'Ac6 Zn4 Ag6'
_cell_length_a 6.190
_cell_length_b 6.190
_cell_length_c 15.937
_cell_angle_alpha 90.00
_cell_angle_beta 90.00
_cell_angle_gamma 134.26
_space_group_name_H-M_alt 'P 1'
_space_group_IT_number 1
loop_
_space_group_symop_operation_xyz
'x,y,z'
loop_
_atom_site_label
_atom_site_type_symbol
_atom_site_fract_x
_atom_site_fract_y
_atom_site_fract_z
_atom_site_occupancy
Ac1 Ac 0.099 0.901 0.601 1
Ac2 Ac 0.099 0.901 0.899 1
Ac3 Ac 0.382 0.618 0.750 1
Ac4 Ac 0.618 0.382 0.250 1
Ac5 Ac 0.901 0.099 0.101 1
Ac6 Ac 0.901 0.099 0.399 1
Zn1 Zn 0.198 0.802 0.100 1
Zn2 Zn 0.198 0.802 0.400 1
Zn3 Zn 0.802 0.198 0.600 1
Zn4 Zn 0.802 0.198 0.900 1
Ag1 Ag 0.324 0.676 0.250 1
Ag2 Ag 0.387 0.613 0.543 1
Ag3 Ag 0.387 0.613 0.957 1
Ag4 Ag 0.613 0.387 0.043 1
Ag5 Ag 0.613 0.387 0.457 1
Ag6 Ag 0.676 0.324 0.750 1

# AcZn3Ag (PBE, optimized geometry)
# Magnetic moment, Bohr magnetons per cell: 0.00
# VASP energy, eV per formula unit: -11.75
data_AcZn3Ag
_chemical_formula_sum 'Ac2 Zn6 Ag2'
_cell_length_a 6.594
_cell_length_b 6.594
_cell_length_c 5.851
_cell_angle_alpha 90.00
_cell_angle_beta 90.00
_cell_angle_gamma 120.00
_space_group_name_H-M_alt 'P 1'
_space_group_IT_number 1
loop_
_space_group_symop_operation_xyz
'x,y,z'
loop_
_atom_site_label
_atom_site_type_symbol
_atom_site_fract_x
_atom_site_fract_y
_atom_site_fract_z
_atom_site_occupancy
Ac1 Ac 0.333 0.667 0.250 1
Ac2 Ac 0.667 0.333 0.750 1
Zn1 Zn 0.197 0.394 0.750 1
Zn2 Zn 0.197 0.803 0.750 1
Zn3 Zn 0.394 0.197 0.250 1
Zn4 Zn 0.606 0.803 0.750 1
Zn5 Zn 0.803 0.197 0.250 1
Zn6 Zn 0.803 0.606 0.250 1
Ag1 Ag 0.000 0.000 0.000 1
Ag2 Ag 0.000 0.000 0.500 1

# Ac2Zn2Ag (PBE, optimized geometry)
# Magnetic moment, Bohr magnetons per cell: 0.00
# VASP energy, eV per formula unit: -14.96
data_Ac2Zn2Ag
_chemical_formula_sum 'Ac4 Zn4 Ag2'
_cell_length_a 6.060
_cell_length_b 6.060
_cell_length_c 11.551
_cell_angle_alpha 114.88
_cell_angle_beta 114.88
_cell_angle_gamma 47.34
_space_group_name_H-M_alt 'P 1'
_space_group_IT_number 1
loop_
_space_group_symop_operation_xyz
'x,y,z'
loop_
_atom_site_label
_atom_site_type_symbol
_atom_site_fract_x
_atom_site_fract_y
_atom_site_fract_z
_atom_site_occupancy
Ac1 Ac 0.025 0.025 0.339 1
Ac2 Ac 0.199 0.199 0.110 1
Ac3 Ac 0.801 0.801 0.890 1
Ac4 Ac 0.975 0.975 0.661 1
Zn1 Zn 0.363 0.363 0.436 1
Zn2 Zn 0.492 0.492 0.111 1
Zn3 Zn 0.508 0.508 0.889 1
Zn4 Zn 0.637 0.637 0.564 1
Ag1 Ag 0.269 0.269 0.655 1
Ag2 Ag 0.731 0.731 0.345 1